The following is a PBE calculation of a relaxed structure of InH2Se, from Alexandria.

Cell: 5.603 3.971 6.202 Å, 90.00 90.00 134.81°
Atoms (fractional coordinates):
H1 0.455 0.130 0.500
H2 0.591 0.397 0.500
Se1 0.022 0.240 0.000
In1 0.523 0.240 0.000

Energy, eV for the cell shown: -13.4
ρ, Mg/m³: 3.32
DOS(E_F), states/eV per atom: 0.31
Symmetry: Pm

The following is a PBE calculation of a relaxed structure of InHSe2, from Alexandria.

Cell: 6.387 7.559 7.559 Å, 60.11 112.23 67.77°
Atoms (fractional coordinates):
H1 0.250 0.850 0.350
H2 0.750 0.150 0.650
In1 0.250 0.046 0.546
In2 0.750 0.954 0.454
Se1 0.304 0.619 0.646
Se2 0.696 0.381 0.354
Se3 0.196 0.146 0.119
Se4 0.804 0.854 0.881

Energy, eV for the cell shown: -27.5
ρ, Mg/m³: 4.39
DOS(E_F), states/eV per atom: 0.00
Symmetry: C2/c

The following is a PBE calculation of a relaxed structure of InHSe2, from Alexandria.

Cell: 6.723 6.723 5.759 Å, 54.29 54.29 90.00°
Atoms (fractional coordinates):
H1 0.250 0.750 0.500
H2 0.750 0.250 0.500
Se1 0.659 0.841 0.000
Se2 0.341 0.159 0.000
Se3 0.159 0.659 0.000
Se4 0.841 0.341 0.000
In1 0.750 0.750 0.500
In2 0.250 0.250 0.500

Energy, eV for the cell shown: -23.7
ρ, Mg/m³: 6.19
DOS(E_F), states/eV per atom: 0.30
Symmetry: I4/mcm

Looking at V for the records above, in order, we have 24.48; 25.91; 18.37 A^3/atom.
Looking at spin magnetization for the records above, in order, we have 0.0; 0.0; 0.0 μB per formula unit.